(1)
Pr2PBr: relaxed, PBE-GGA.

a b c (Å): 4.1338 4.1338 7.9556
angles (deg): 74.94 74.94 60.00
Closest atoms and distances in Å follow each position.
Fractional coordinates of all 4 atoms:
Pr: 0.0680 0.0680 0.7961  3 P 2.83
Pr: 0.2653 0.2653 0.2040  3 P 2.86
P: 0.6678 0.6678 0.9967  6 Pr 2.83-2.86
Br: 0.4989 0.4989 0.5032  6 Pr 3.26-3.29

Properties
Formation energy from raw total energies ... -1.4964 eV per atom

***

(2)
CrNi2OsPb: relaxed, PBE-GGA.

a b c (Å): 4.6593 4.5481 4.6593
angles (deg): 90.00 90.00 90.00
Closest atoms and distances in Å follow each position.
Fractional coordinates of all 5 atoms:
Pb: 0.5000 0.5000 0.5000  8 Ni 3.26, 4 Cr 3.29
Ni: 0.0000 0.0000 0.5000  2 Os 2.33
Ni: 0.5000 0.0000 0.0000  2 Os 2.33
Os: 0.0000 0.0000 0.0000  2 Cr 2.27, 4 Ni 2.33
Cr: 0.0000 0.5000 0.0000  2 Os 2.27

Properties
Formation energy ... 1.0297 eV/atom